No. 1
A relaxed Ba2Cu4Sb3As crystal. Source: Alexandria via LeMat-Bulk, functional PBE.

## Properties
As for the total energy: -41.99 eV per formula unit. For the volume, the calculation gives 23.25 Å³/atom. The magnetic moment comes out at 0.00 Bohr magnetons per cell. The crystal system is tetragonal. For the density of states at the Fermi level, the calculation gives 3.00 states/eV per cell. As for the density: 6.9 g/cm3. Its formation energy (no corrections) is -0.474 eV/atom.

a = 4.6733 Å, b = 4.6733 Å, c = 10.6461 Å
α = 90.00°, β = 90.00°, γ = 90.00°
Closest atoms and distances in Å follow each position.
Fractional coordinates of all 10 atoms:
Cu1 0.5000 0.5000 0.0000  4 Sb 2.71
Ba1 0.5000 0.0000 0.2487  9 Cu 3.53-3.93, 6 Sb 3.54-3.55, 2 As 3.55
Sb1 0.0000 0.5000 0.1283  5 Cu 2.70-2.71
Sb2 0.0000 0.0000 0.5000  4 Cu 2.65
As1 0.5000 0.5000 0.5000  4 Cu 2.65
Sb3 0.5000 0.0000 0.8717  5 Cu 2.70-2.71
Ba2 0.0000 0.5000 0.7513  9 Cu 3.53-3.93, 6 Sb 3.54-3.55, 2 As 3.55
Cu2 0.0000 0.0000 0.0000  4 Sb 2.71
Cu3 0.0000 0.5000 0.3819  3 Sb 2.65-2.70, 2 As 2.65
Cu4 0.5000 0.0000 0.6181  2 As 2.65, 3 Sb 2.65-2.70

=====

No. 2
A relaxed CdPdI4 crystal. Source: Alexandria via LeMat-Bulk, functional PBE.

## Properties
As for the total energy: -14.13 eV per formula unit. For the volume, the calculation gives 36.82 Å³/atom. The magnetic moment comes out at 1.84 Bohr magnetons per cell. The crystal system is monoclinic. For the density of states at the Fermi level, the calculation gives 3.19 states/eV per cell. As for the density: 5.5 g/cm3. Its formation energy (no corrections) is -0.304 eV/atom.

a = 4.2194 Å, b = 7.1326 Å, c = 7.3402 Å
α = 90.01°, β = 90.00°, γ = 90.00°
Closest atoms and distances in Å follow each position.
Fractional coordinates of all 6 atoms:
I1 0.0000 0.7786 0.6523  2 Pd 2.86, 1 Cd 3.00
Pd1 0.5000 0.0000 0.5000  6 I 2.86-2.88
I2 0.5000 0.7635 0.1823  1 Pd 2.88, 2 Cd 3.01
Cd1 0.0000 0.0000 0.0000  6 I 3.00-3.01
I3 0.0000 0.2214 0.3477  2 Pd 2.86, 1 Cd 3.00
I4 0.5000 0.2365 0.8177  1 Pd 2.88, 2 Cd 3.01

=====

No. 3
A relaxed Dy4I5N crystal. Source: Alexandria via LeMat-Bulk, functional PBE.

## Properties
As for the total energy: -47.02 eV per formula unit. For the volume, the calculation gives 31.75 Å³/atom. The magnetic moment comes out at 0.00 Bohr magnetons per cell. The crystal system is monoclinic. For the density of states at the Fermi level, the calculation gives 3.36 states/eV per cell. As for the density: 6.8 g/cm3. Its formation energy (no corrections) is -1.253 eV/atom.

a = 3.9242 Å, b = 8.5366 Å, c = 9.8937 Å
α = 101.98°, β = 101.44°, γ = 90.00°
Closest atoms and distances in Å follow each position.
Fractional coordinates of all 10 atoms:
I1 0.8373 0.1806 0.6746  3 Dy 3.06-3.13
I2 0.8402 0.6637 0.6803  3 Dy 3.04-3.10
Dy1 0.0005 0.8122 0.0010  2 N 2.54
Dy2 0.9995 0.1878 0.9990  2 N 2.54
N1 0.5000 0.0000 0.0000  6 Dy 2.31-2.54
I3 0.1627 0.8194 0.3254  3 Dy 3.06-3.13
I4 0.5000 0.5000 0.0000  4 Dy 3.31
I5 0.1598 0.3363 0.3197  3 Dy 3.04-3.10
Dy3 0.3780 0.9409 0.7559  1 N 2.31
Dy4 0.6220 0.0591 0.2441  1 N 2.31

=====

No. 4
A relaxed TiCu3B crystal. Source: Alexandria via LeMat-Bulk, functional PBE.

## Properties
Its relative energy among the computed polymorphs is 915 kJ/mol of formula units. As for the total energy: -16.57 eV per formula unit. For the volume, the calculation gives 20.09 Å³/atom. As for the energy of formation from the pure elements: 2.06 eV per atom. The magnetic moment comes out at 1.05 Bohr magnetons per cell. The crystal system is cubic. For the density of states at the Fermi level, the calculation gives 4.60 states/eV per cell. As for the density: 4.1 g/cm3.

a = 4.6489 Å, b = 4.6489 Å, c = 4.6489 Å
α = 90.00°, β = 90.00°, γ = 90.00°
Closest atoms and distances in Å follow each position.
Fractional coordinates of all 5 atoms:
Ti1 0.0000 0.0000 0.0000  6 Cu 2.32
B1 0.5000 0.5000 0.5000  12 Cu 3.29
Cu1 0.5000 0.0000 0.0000  2 Ti 2.32
Cu2 0.0000 0.0000 0.5000  2 Ti 2.32
Cu3 0.0000 0.5000 0.0000  2 Ti 2.32

=====

No. 5
A relaxed GeOs3Br crystal. Source: Alexandria via LeMat-Bulk, functional PBE.

## Properties
Its relative energy among the computed polymorphs is 0 kJ/mol of formula units. As for the total energy: -28.94 eV per formula unit. For the volume, the calculation gives 20.09 Å³/atom. The magnetic moment comes out at 3.31 Bohr magnetons per cell. The crystal system is cubic. For the density of states at the Fermi level, the calculation gives 7.88 states/eV per cell. As for the density: 12.0 g/cm3. Its formation energy (no corrections) is 2.207 eV/atom.

a = 4.6488 Å, b = 4.6488 Å, c = 4.6488 Å
α = 90.00°, β = 90.00°, γ = 90.00°
Closest atoms and distances in Å follow each position.
Fractional coordinates of all 5 atoms:
Ge1 0.0000 0.0000 0.0000  6 Os 2.32
Br1 0.5000 0.5000 0.5000  12 Os 3.29
Os1 0.0000 0.0000 0.5000  2 Ge 2.32
Os2 0.0000 0.5000 0.0000  2 Ge 2.32
Os3 0.5000 0.0000 0.0000  2 Ge 2.32

=====

No. 6
A relaxed CsSn2Au2 crystal. Source: Alexandria via LeMat-Bulk, functional PBE.

## Properties
Its relative energy among the computed polymorphs is 29 kJ/mol of formula units. As for the total energy: -16.65 eV per formula unit. For the volume, the calculation gives 31.68 Å³/atom. As for the energy of formation from the pure elements: -0.25 eV per atom. The magnetic moment comes out at 0.00 Bohr magnetons per cell. The crystal system is tetragonal. For the density of states at the Fermi level, the calculation gives 2.71 states/eV per cell. As for the density: 8.0 g/cm3.

a = 5.0376 Å, b = 5.0376 Å, c = 7.1864 Å
α = 69.48°, β = 69.48°, γ = 90.00°
Closest atoms and distances in Å follow each position.
Fractional coordinates of all 5 atoms:
Cs1 0.0000 0.0000 0.0000  8 Au 4.01, 10 Sn 4.04-4.33
Au1 0.2500 0.7500 0.5000  4 Sn 2.80
Au2 0.7500 0.2500 0.5000  4 Sn 2.80
Sn1 0.6529 0.6529 0.6943  4 Au 2.80
Sn2 0.3471 0.3471 0.3057  4 Au 2.80

=====

No. 7
A relaxed LiFeIr crystal. Source: Alexandria via LeMat-Bulk, functional PBE.

## Properties
Its relative energy among the computed polymorphs is 34 kJ/mol of formula units. As for the total energy: -19.00 eV per formula unit. For the volume, the calculation gives 12.34 Å³/atom. As for the energy of formation from the pure elements: 0.08 eV per atom. The magnetic moment comes out at 5.54 Bohr magnetons per cell. The crystal system is trigonal. For the density of states at the Fermi level, the calculation gives 5.80 states/eV per cell. As for the density: 11.4 g/cm3.

a = 4.1007 Å, b = 4.1007 Å, c = 5.0828 Å
α = 90.00°, β = 90.00°, γ = 120.00°
Closest atoms and distances in Å follow each position.
Fractional coordinates of all 6 atoms:
Fe1 0.6667 0.3333 0.9178  5 Ir 2.49-2.60, 3 Fe 2.56
Ir1 0.0000 0.0000 0.0700  3 Fe 2.49, 5 Li 2.51-2.57
Li1 0.0000 0.0000 0.5753  5 Ir 2.48-2.57, 3 Fe 2.49
Ir2 0.6667 0.3333 0.4285  6 Li 2.48-2.56, 2 Fe 2.49-2.60
Li2 0.3333 0.6667 0.2346  2 Fe 2.51-2.58, 6 Ir 2.51-2.56
Fe2 0.3333 0.6667 0.7277  5 Li 2.49-2.58, 3 Fe 2.56

=====

No. 8
A relaxed Os2RhBr crystal. Source: Alexandria via LeMat-Bulk, functional PBE.

## Properties
Its relative energy among the computed polymorphs is 114 kJ/mol of formula units. As for the total energy: -27.86 eV per formula unit. For the volume, the calculation gives 16.45 Å³/atom. The magnetic moment comes out at 0.45 Bohr magnetons per cell. The crystal system is orthorhombic. For the density of states at the Fermi level, the calculation gives 5.20 states/eV per cell. As for the density: 14.2 g/cm3. Its formation energy (no corrections) is 0.905 eV/atom.

a = 2.8165 Å, b = 2.8165 Å, c = 9.6886 Å
α = 90.00°, β = 90.00°, γ = 121.11°
Closest atoms and distances in Å follow each position.
Fractional coordinates of all 4 atoms:
Br1 0.5000 0.5000 0.7385  6 Br 2.77-2.82, 2 Rh 2.83
Os1 0.5000 0.5000 0.2506  8 Os 2.57-2.82, 2 Rh 2.65
Rh1 0.0000 0.0000 0.4843  2 Os 2.65, 6 Rh 2.77-2.82, 2 Br 2.83
Os2 0.0000 0.0000 0.0266  8 Os 2.57-2.82

=====

What did the fourth record say?
A relaxed TiCu3B crystal. Source: Alexandria via LeMat-Bulk, functional PBE.

## Properties
Its relative energy among the computed polymorphs is 915 kJ/mol of formula units. As for the total energy: -16.57 eV per formula unit. For the volume, the calculation gives 20.09 Å³/atom. As for the energy of formation from the pure elements: 2.06 eV per atom. The magnetic moment comes out at 1.05 Bohr magnetons per cell. The crystal system is cubic. For the density of states at the Fermi level, the calculation gives 4.60 states/eV per cell. As for the density: 4.1 g/cm3.

a = 4.6489 Å, b = 4.6489 Å, c = 4.6489 Å
α = 90.00°, β = 90.00°, γ = 90.00°
Closest atoms and distances in Å follow each position.
Fractional coordinates of all 5 atoms:
Ti1 0.0000 0.0000 0.0000  6 Cu 2.32
B1 0.5000 0.5000 0.5000  12 Cu 3.29
Cu1 0.5000 0.0000 0.0000  2 Ti 2.32
Cu2 0.0000 0.0000 0.5000  2 Ti 2.32
Cu3 0.0000 0.5000 0.0000  2 Ti 2.32